DFT (GGA-PBE) results for a relaxed Fe3SiAs crystal.

Unit cell a=4.359 b=4.359 c=4.359 alpha=90.00 beta=90.00 gamma=90.00
Site moments in Bohr magnetons follow the coordinates.
Sites, in units of the cell vectors:
1 As 0.000 0.000 0.000  -0.08
2 Si 0.500 0.500 0.500  0.00
3 Fe 0.000 0.500 0.000  2.25
4 Fe 0.000 0.000 0.500  2.19
5 Fe 0.500 0.000 0.000  2.43

Calculated values
ΔE_f (raw) in eV per atom: 0.8126
D(E_F) in states/eV/atom: 0.395
Distance to the lowest polymorph of the same formula in meV per atom: 180
Calculated total energy in eV/atom: -6.280